First-principles (PBE-GGA) data for Eu2AgHg after structural relaxation, as listed in Alexandria.

Values from the calculation:
E_form = -0.420 eV per atom
Space group = No. 123

Unit cell a=3.853 b=3.853 c=7.716 alpha=90.00 beta=90.00 gamma=90.00
Sites, in units of the cell vectors:
Eu 0.000 0.000 0.247
Eu 0.000 0.000 0.753
Ag 0.500 0.500 0.000
Hg 0.500 0.500 0.500



First-principles (PBE-GGA) data for Eu2AgHg after structural relaxation, as listed in Alexandria.

Values from the calculation:
E_form = -0.413 eV per atom
Space group = No. 225

Unit cell a=5.455 b=5.455 c=5.455 alpha=60.00 beta=60.00 gamma=60.00
Sites, in units of the cell vectors:
Eu 0.250 0.250 0.250
Eu 0.750 0.750 0.750
Ag 0.000 0.000 0.000
Hg 0.500 0.500 0.500



First-principles (PBE-GGA) data for EuInAgHg after structural relaxation, as listed in Alexandria.

Values from the calculation:
E_form = -0.346 eV per atom
Space group = No. 216

Unit cell a=5.180 b=5.180 c=5.180 alpha=60.00 beta=60.00 gamma=60.00
Sites, in units of the cell vectors:
Eu 0.000 0.000 0.000
In 0.500 0.500 0.500
Ag 0.250 0.250 0.250
Hg 0.750 0.750 0.750



First-principles (PBE-GGA) data for LaEuAgHg after structural relaxation, as listed in Alexandria.

Values from the calculation:
E_form = -0.246 eV per atom
Space group = No. 216

Unit cell a=5.246 b=5.246 c=5.246 alpha=60.00 beta=60.00 gamma=60.00
Sites, in units of the cell vectors:
La 0.000 0.000 0.000
Eu 0.750 0.750 0.750
Ag 0.500 0.500 0.500
Hg 0.250 0.250 0.250



First-principles (PBE-GGA) data for EuLuAgHg after structural relaxation, as listed in Alexandria.

Values from the calculation:
E_form = -0.358 eV per atom
Space group = No. 216

Unit cell a=5.258 b=5.258 c=5.258 alpha=60.00 beta=60.00 gamma=60.00
Sites, in units of the cell vectors:
Eu 0.000 0.000 0.000
Lu 0.500 0.500 0.500
Ag 0.250 0.250 0.250
Hg 0.750 0.750 0.750



First-principles (PBE-GGA) data for EuMgAgHg after structural relaxation, as listed in Alexandria.

Values from the calculation:
E_form = -0.319 eV per atom
Space group = No. 216

Unit cell a=5.174 b=5.174 c=5.174 alpha=60.00 beta=60.00 gamma=60.00
Sites, in units of the cell vectors:
Eu 0.000 0.000 0.000
Mg 0.500 0.500 0.500
Ag 0.750 0.750 0.750
Hg 0.250 0.250 0.250



First-principles (PBE-GGA) data for EuAgHgPd after structural relaxation, as listed in Alexandria.

Values from the calculation:
E_form = -0.337 eV per atom
Space group = No. 216

Unit cell a=4.989 b=4.989 c=4.989 alpha=60.00 beta=60.00 gamma=60.00
Sites, in units of the cell vectors:
Eu 0.000 0.000 0.000
Ag 0.250 0.250 0.250
Hg 0.500 0.500 0.500
Pd 0.750 0.750 0.750



First-principles (PBE-GGA) data for EuScAgHg after structural relaxation, as listed in Alexandria.

Values from the calculation:
E_form = -0.288 eV per atom
Space group = No. 216

Unit cell a=5.182 b=5.182 c=5.182 alpha=60.00 beta=60.00 gamma=60.00
Sites, in units of the cell vectors:
Eu 0.000 0.000 0.000
Sc 0.500 0.500 0.500
Ag 0.250 0.250 0.250
Hg 0.750 0.750 0.750



First-principles (PBE-GGA) data for EuAgSnHg after structural relaxation, as listed in Alexandria.

Values from the calculation:
E_form = -0.373 eV per atom
Space group = No. 216

Unit cell a=5.193 b=5.193 c=5.193 alpha=60.00 beta=60.00 gamma=60.00
Sites, in units of the cell vectors:
Eu 0.000 0.000 0.000
Ag 0.250 0.250 0.250
Sn 0.500 0.500 0.500
Hg 0.750 0.750 0.750



First-principles (PBE-GGA) data for EuTmAgHg after structural relaxation, as listed in Alexandria.

Values from the calculation:
E_form = -0.367 eV per atom
Space group = No. 216

Unit cell a=5.275 b=5.275 c=5.275 alpha=60.00 beta=60.00 gamma=60.00
Sites, in units of the cell vectors:
Eu 0.000 0.000 0.000
Tm 0.500 0.500 0.500
Ag 0.750 0.750 0.750
Hg 0.250 0.250 0.250



First-principles (PBE-GGA) data for EuZnAgHg after structural relaxation, as listed in Alexandria.

Values from the calculation:
E_form = -0.226 eV per atom
Space group = No. 216

Unit cell a=5.061 b=5.061 c=5.061 alpha=60.00 beta=60.00 gamma=60.00
Sites, in units of the cell vectors:
Eu 0.000 0.000 0.000
Zn 0.250 0.250 0.250
Ag 0.500 0.500 0.500
Hg 0.750 0.750 0.750



First-principles (PBE-GGA) data for EuHoAg2 after structural relaxation, as listed in Alexandria.

Values from the calculation:
E_form = -0.305 eV per atom
Space group = No. 123

Unit cell a=3.704 b=3.704 c=7.493 alpha=90.00 beta=90.00 gamma=90.00
Sites, in units of the cell vectors:
Eu 0.000 0.000 0.000
Ho 0.000 0.000 0.500
Ag 0.500 0.500 0.282
Ag 0.500 0.500 0.718



First-principles (PBE-GGA) data for EuHo2Ag after structural relaxation, as listed in Alexandria.

Values from the calculation:
E_form = -0.079 eV per atom
Excess energy over the best structure of this formula in the dataset = 0.00 eV per formula unit
Space group = No. 123

Unit cell a=3.642 b=3.642 c=8.977 alpha=90.00 beta=90.00 gamma=90.00
Sites, in units of the cell vectors:
Eu 0.000 0.000 0.000
Ho 0.500 0.500 0.303
Ho 0.500 0.500 0.697
Ag 0.000 0.000 0.500



First-principles (PBE-GGA) data for EuHo2Ag after structural relaxation, as listed in Alexandria.

Values from the calculation:
E_form = 0.037 eV per atom
Excess energy over the best structure of this formula in the dataset = 0.46 eV per formula unit
Space group = No. 166

Unit cell a=10.871 b=10.871 c=10.871 alpha=19.17 beta=19.17 gamma=19.17
Sites, in units of the cell vectors:
Eu 0.000 0.000 0.000
Ho 0.237 0.237 0.237
Ho 0.763 0.763 0.763
Ag 0.500 0.500 0.500



First-principles (PBE-GGA) data for EuHo2Ag after structural relaxation, as listed in Alexandria.

Values from the calculation:
E_form = 0.060 eV per atom
Excess energy over the best structure of this formula in the dataset = 0.55 eV per formula unit
Space group = No. 123

Unit cell a=5.213 b=5.213 c=4.140 alpha=90.00 beta=90.00 gamma=90.00
Sites, in units of the cell vectors:
Eu 0.000 0.000 0.000
Ho 0.000 0.500 0.500
Ho 0.500 0.000 0.500
Ag 0.500 0.500 0.000



First-principles (PBE-GGA) data for EuHoAgIr after structural relaxation, as listed in Alexandria.

Values from the calculation:
E_form = -0.431 eV per atom
Space group = No. 216

Unit cell a=5.024 b=5.024 c=5.024 alpha=60.00 beta=60.00 gamma=60.00
Sites, in units of the cell vectors:
Eu 0.000 0.000 0.000
Ho 0.500 0.500 0.500
Ag 0.250 0.250 0.250
Ir 0.750 0.750 0.750



First-principles (PBE-GGA) data for EuHoAgPt after structural relaxation, as listed in Alexandria.

Values from the calculation:
E_form = -0.659 eV per atom
Space group = No. 216

Unit cell a=5.090 b=5.090 c=5.090 alpha=60.00 beta=60.00 gamma=60.00
Sites, in units of the cell vectors:
Eu 0.000 0.000 0.000
Ho 0.500 0.500 0.500
Ag 0.250 0.250 0.250
Pt 0.750 0.750 0.750



First-principles (PBE-GGA) data for EuHoAgSn after structural relaxation, as listed in Alexandria.

Values from the calculation:
E_form = -0.516 eV per atom
Space group = No. 216

Unit cell a=5.335 b=5.335 c=5.335 alpha=60.00 beta=60.00 gamma=60.00
Sites, in units of the cell vectors:
Eu 0.000 0.000 0.000
Ho 0.500 0.500 0.500
Ag 0.750 0.750 0.750
Sn 0.250 0.250 0.250



First-principles (PBE-GGA) data for EuHoTlAg after structural relaxation, as listed in Alexandria.

Values from the calculation:
E_form = -0.308 eV per atom
Space group = No. 216

Unit cell a=5.361 b=5.361 c=5.361 alpha=60.00 beta=60.00 gamma=60.00
Sites, in units of the cell vectors:
Eu 0.000 0.000 0.000
Ho 0.500 0.500 0.500
Tl 0.750 0.750 0.750
Ag 0.250 0.250 0.250



First-principles (PBE-GGA) data for EuAgI2 after structural relaxation, as listed in Alexandria.

Values from the calculation:
Space group = No. 166
E_form (uncorrected) = -275 kJ/mol of formula units

Unit cell a=10.337 b=10.337 c=10.337 alpha=24.80 beta=24.80 gamma=24.80
Sites, in units of the cell vectors:
Eu 0.000 0.000 0.000
Ag 0.500 0.500 0.500
I 0.399 0.399 0.399
I 0.601 0.601 0.601



Number 1: spin magnetization 14.5 μB per cell, electronic total energy -6.346 eV per atom, density 8.9 g/cm3. Number 2: spin magnetization 14.4 μB per cell, electronic total energy -6.338 eV per atom, density 8.9 g/cm3. Number 3: spin magnetization 7.0 μB per cell, electronic total energy -4.388 eV per atom, density 9.7 g/cm3. Number 4: spin magnetization 7.0 μB per cell, electronic total energy -4.835 eV per atom, density 9.8 g/cm3. Number 5: spin magnetization 7.2 μB per cell, electronic total energy -4.845 eV per atom, density 10.3 g/cm3. Number 6: spin magnetization 7.3 μB per cell, electronic total energy -4.074 eV per atom, density 8.2 g/cm3. Number 7: spin magnetization 6.9 μB per cell, electronic total energy -4.992 eV per atom, density 10.7 g/cm3. Number 8: spin magnetization 7.2 μB per cell, electronic total energy -5.228 eV per atom, density 8.5 g/cm3. Number 9: spin magnetization 7.0 μB per cell, electronic total energy -4.731 eV per atom, density 9.7 g/cm3. Number 10: spin magnetization 7.2 μB per cell, electronic total energy -4.841 eV per atom, density 10.1 g/cm3. Number 11: spin magnetization 7.3 μB per cell, electronic total energy -3.902 eV per atom, density 9.5 g/cm3. Number 12: spin magnetization 7.3 μB per cell, electronic total energy -5.444 eV per atom, density 8.6 g/cm3. Number 13: spin magnetization 8.2 μB per cell, electronic total energy -5.649 eV per atom, density 8.2 g/cm3. Number 14: spin magnetization 7.7 μB per cell, electronic total energy -5.533 eV per atom, density 8.1 g/cm3. Number 15: spin magnetization 7.5 μB per cell, electronic total energy -5.511 eV per atom, density 8.7 g/cm3. Number 16: spin magnetization 7.0 μB per cell, electronic total energy -7.072 eV per atom, density 11.4 g/cm3. Number 17: spin magnetization 7.0 μB per cell, electronic total energy -6.595 eV per atom, density 11.0 g/cm3. Number 18: spin magnetization 7.3 μB per cell, electronic total energy -5.943 eV per atom, density 8.4 g/cm3. Number 19: spin magnetization 6.9 μB per cell, electronic total energy -5.325 eV per atom, density 9.6 g/cm3. Number 20: spin magnetization 7.2 μB per cell, electronic total energy -4.768 eV per atom, density 5.0 g/cm3.